# 1
Compound: Pd3Pb4
Source: Alexandria via LeMat-Bulk
Functional: PBE
Structure: relaxed

a b c (Å): 4.406 5.871 6.987
angles (deg): 105.74 108.38 90.00
Element x y z (fractional)
1 Pb 0.168 0.806 0.337
2 Pb 0.426 0.681 0.852
3 Pb 0.832 0.194 0.663
4 Pb 0.574 0.319 0.148
5 Pd 0.221 0.323 0.441
6 Pd 0.779 0.677 0.559
7 Pd 0.000 0.000 0.000

The formation energy comes out at -0.225 eV/atom. As for the symmetry: No. 12. As for the electronic total energy: -0.168 hartree per atom. As for the total magnetization: 0.00 Bohr magnetons per cell.

***

# 2
Compound: PdPb3
Source: Alexandria via LeMat-Bulk
Functional: PBE
Structure: relaxed

a b c (Å): 6.220 6.220 6.596
angles (deg): 90.00 90.00 120.00
Element x y z (fractional)
1 Pd 0.667 0.333 0.000
2 Pd 0.333 0.667 0.000
3 Pb 0.322 0.000 0.713
4 Pb 0.000 0.322 0.713
5 Pb 0.678 0.678 0.713
6 Pb 0.000 0.678 0.287
7 Pb 0.322 0.322 0.287
8 Pb 0.678 0.000 0.287

The formation energy comes out at -0.066 eV/atom. As for the symmetry: No. 162. As for the electronic total energy: -0.152 hartree per atom. As for the total magnetization: 0.00 Bohr magnetons per cell.

***

# 3
Compound: PdPb
Source: Alexandria via LeMat-Bulk
Functional: PBE
Structure: relaxed

a b c (Å): 8.256 8.256 8.256
angles (deg): 90.00 90.00 90.00
Element x y z (fractional)
1 Pb 0.196 0.196 0.804
2 Pb 0.304 0.304 0.304
3 Pb 0.804 0.804 0.804
4 Pb 0.304 0.696 0.696
5 Pb 0.804 0.196 0.196
6 Pb 0.196 0.804 0.196
7 Pb 0.696 0.304 0.696
8 Pb 0.696 0.696 0.304
9 Pd 0.121 0.121 0.121
10 Pd 0.379 0.621 0.379
11 Pd 0.879 0.879 0.121
12 Pd 0.621 0.621 0.621
13 Pd 0.379 0.379 0.621
14 Pd 0.621 0.379 0.379
15 Pd 0.879 0.121 0.879
16 Pd 0.121 0.879 0.879

The formation energy comes out at 0.107 eV/atom. As for the symmetry: No. 217. As for the electronic total energy: -0.160 hartree per atom. As for the total magnetization: 0.00 Bohr magnetons per cell.

***

# 4
Compound: Pd7Pb3
Source: Alexandria via LeMat-Bulk
Functional: PBE
Structure: relaxed

a b c (Å): 4.113 5.836 7.956
angles (deg): 101.25 104.98 90.00
Element x y z (fractional)
1 Pd 0.000 0.500 0.000
2 Pd 0.601 0.314 0.202
3 Pd 0.406 0.188 0.813
4 Pd 0.594 0.812 0.187
5 Pd 0.399 0.686 0.798
6 Pd 0.202 0.121 0.404
7 Pd 0.798 0.879 0.596
8 Pb 0.811 0.368 0.622
9 Pb 0.189 0.632 0.378
10 Pb 0.000 0.000 0.000

The formation energy comes out at -0.240 eV/atom. As for the symmetry: No. 12. As for the electronic total energy: -0.183 hartree per atom. As for the total magnetization: 0.00 Bohr magnetons per cell.

***

# 5
Compound: PdPb3
Source: Alexandria via LeMat-Bulk
Functional: PBE
Structure: relaxed

a b c (Å): 3.629 6.212 6.009
angles (deg): 121.12 107.58 90.00
Element x y z (fractional)
1 Pb 0.305 0.654 0.609
2 Pb 0.500 0.409 0.000
3 Pb 0.695 0.045 0.391
4 Pd 0.000 0.059 0.000

The formation energy comes out at -0.089 eV/atom. As for the symmetry: No. 44. As for the electronic total energy: -0.153 hartree per atom. As for the total magnetization: 0.00 Bohr magnetons per cell.

***

# 6
Compound: Pd3Pb4
Source: Alexandria via LeMat-Bulk
Functional: PBE
Structure: relaxed

a b c (Å): 4.489 4.489 10.041
angles (deg): 77.04 77.04 59.78
Element x y z (fractional)
1 Pb 0.300 0.300 0.101
2 Pb 0.121 0.121 0.637
3 Pb 0.700 0.700 0.899
4 Pb 0.879 0.879 0.363
5 Pd 0.596 0.596 0.213
6 Pd 0.404 0.404 0.787
7 Pd 0.500 0.500 0.500

The formation energy comes out at -0.207 eV/atom. As for the symmetry: No. 12. As for the electronic total energy: -0.167 hartree per atom. As for the total magnetization: 0.00 Bohr magnetons per cell.

***

- What is the formula in the fifth record?
  PdPb3

***

Please write out number 1 again, unchanged.
Compound: Pd3Pb4
Source: Alexandria via LeMat-Bulk
Functional: PBE
Structure: relaxed

a b c (Å): 4.406 5.871 6.987
angles (deg): 105.74 108.38 90.00
Element x y z (fractional)
1 Pb 0.168 0.806 0.337
2 Pb 0.426 0.681 0.852
3 Pb 0.832 0.194 0.663
4 Pb 0.574 0.319 0.148
5 Pd 0.221 0.323 0.441
6 Pd 0.779 0.677 0.559
7 Pd 0.000 0.000 0.000

The formation energy comes out at -0.225 eV/atom. As for the symmetry: No. 12. As for the electronic total energy: -0.168 hartree per atom. As for the total magnetization: 0.00 Bohr magnetons per cell.

***

- Which of these has the lowest electronic total energy?
  Pd7Pb3

***

- electronic total energy of number 5 (PdPb3)?
  -0.153 hartree per atom